First-principles (GGA-PBE) data for a geometry-optimized YBeCu2 structure, as listed in Alexandria via LeMat-Bulk.

a b c (Å): 4.446 4.446 4.446
angles (deg): 119.77 119.77 90.39
Element x y z (fractional)
Cu (0.000, 0.000, 0.000)
Be (0.750, 0.250, 0.500)
Y (0.500, 0.500, 0.000)
Cu (0.250, 0.750, 0.500)

The mass density is 5.99 Mg/m³. The value obtained for the total magnetic moment is 0.000 μB per atom. The calculation puts the total energy at -18.1 eV per formula unit. As for the space group: I-4m2 (119).